Record 1
Entry from Alexandria: an optimized crystal structure of Pm6DyTh2 (PBE).

Geometry as CIF:
```
data_Pm6DyTh2
_chemical_formula_sum 'Pm6 Dy1 Th2'
_cell_length_a 3.6099
_cell_length_b 3.6099
_cell_length_c 26.9739
_cell_angle_alpha 90.00
_cell_angle_beta 90.00
_cell_angle_gamma 120.00
_symmetry_space_group_name_H-M 'P -6 m 2'
_symmetry_Int_Tables_number 187
_symmetry_space_group_name_Hall 'P -6 2'
loop_
_atom_site_label
_atom_site_type_symbol
_atom_site_fract_x
_atom_site_fract_y
_atom_site_fract_z
_atom_site_occupancy
Pm1 Pm 0.0000 0.0000 0.0633 1
Pm2 Pm 0.0000 0.0000 0.2800 1
Pm3 Pm 0.3333 0.6667 0.3926 1
Dy1 Dy 0.0000 0.0000 0.5000 1
Th1 Th 0.3333 0.6667 0.1705 1
```

Values from the calculation:
energy relative to the elements	0.07	eV per atom
E_tot	-5.2560	eV/atom



Record 2
Entry from Alexandria: an optimized crystal structure of Pm7Dy2Th2 (PBE).

Geometry as CIF:
```
data_Pm7Dy2Th2
_chemical_formula_sum 'Pm14 Dy4 Th4'
_cell_length_a 11.5727
_cell_length_b 11.5403
_cell_length_c 6.0607
_cell_angle_alpha 90.00
_cell_angle_beta 112.52
_cell_angle_gamma 90.00
_symmetry_space_group_name_H-M 'C 1 2/m 1'
_symmetry_Int_Tables_number 12
_symmetry_space_group_name_Hall '-C 2y'
loop_
_atom_site_label
_atom_site_type_symbol
_atom_site_fract_x
_atom_site_fract_y
_atom_site_fract_z
_atom_site_occupancy
Pm1 Pm 0.0000 0.0000 0.0000 1
Pm2 Pm 0.0729 0.5000 0.7982 1
Pm3 Pm 0.1815 0.2273 0.1744 1
Dy1 Dy 0.2258 0.0000 0.5976 1
Th1 Th 0.0000 0.2137 0.5000 1
```

Values from the calculation:
energy relative to the elements	0.18	eV per atom
E_tot	-5.0265	eV/atom



Record 3
Entry from Alexandria: an optimized crystal structure of Pm2DyTh (PBE).

Geometry as CIF:
```
data_Pm2DyTh
_chemical_formula_sum 'Pm6 Dy3 Th3'
_cell_length_a 3.6251
_cell_length_b 3.6251
_cell_length_c 34.9733
_cell_angle_alpha 90.00
_cell_angle_beta 90.00
_cell_angle_gamma 120.00
_symmetry_space_group_name_H-M 'R 3 m'
_symmetry_Int_Tables_number 160
_symmetry_space_group_name_Hall 'R 3 -2"'
loop_
_atom_site_label
_atom_site_type_symbol
_atom_site_fract_x
_atom_site_fract_y
_atom_site_fract_z
_atom_site_occupancy
Pm1 Pm 0.0000 0.0000 0.0000 1
Pm2 Pm 0.0000 0.0000 0.1687 1
Dy1 Dy 0.0000 0.0000 0.7507 1
Th1 Th 0.0000 0.0000 0.5843 1
```

Values from the calculation:
energy relative to the elements	0.02	eV per atom
E_tot	-5.3570	eV/atom